SmCuF: relaxed, PBE.

Output
energy relative to the elements, uncorrected	-37.15	kcal/mol of atoms
symmetry	P4/nmm (129)

abc: 3.355 3.355 8.610
angles: 90.00 90.00 90.00
Atoms (fractional coordinates):
Cu 0.500 0.000 0.441
Cu 0.000 0.500 0.559
Sm 0.500 0.000 0.788
F 0.000 0.500 0.925
F 0.500 0.000 0.075
Sm 0.000 0.500 0.212